Material: In2SiTe
Method: DFT, PBE-GGA
State: optimized geometry

CIF file:
```
data_In2SiTe
_chemical_formula_sum 'In6 Si3 Te3'
_cell_length_a 3.9497
_cell_length_b 3.9497
_cell_length_c 23.5702
_cell_angle_alpha 90.00
_cell_angle_beta 90.00
_cell_angle_gamma 120.00
_symmetry_space_group_name_H-M 'R 3 m'
_symmetry_Int_Tables_number 160
_symmetry_space_group_name_Hall 'R 3 -2"'
loop_
_atom_site_label
_atom_site_fract_x
_atom_site_fract_y
_atom_site_fract_z
_atom_site_occupancy
In1 0.0000 0.0000 0.0000 1
In2 0.0000 0.0000 0.2397 1
Si1 0.0000 0.0000 0.7397 1
Te1 0.0000 0.0000 0.4754 1
```

Values from the calculation:
size of the total moment: 0.00 μB/cell
offset from the most stable computed form: 207 meV per atom
mass density: 6.03 g/cm3
E_form (uncorrected): 0.557 eV per formula unit
raw total energy: -3.371 eV/atom

Material: InSiTe2
Method: DFT, PBE-GGA
State: optimized geometry

CIF file:
```
data_InSiTe2
_chemical_formula_sum 'In1 Si1 Te2'
_cell_length_a 3.450
_cell_length_b 3.450
_cell_length_c 9.486
_cell_angle_alpha 90.00
_cell_angle_beta 90.00
_cell_angle_gamma 90.00
_symmetry_space_group_name_H-M 'P 4 m m'
_symmetry_Int_Tables_number 99
_symmetry_space_group_name_Hall 'P 4 -2'
loop_
_atom_site_label
_atom_site_fract_x
_atom_site_fract_y
_atom_site_fract_z
_atom_site_occupancy
In1 0.000 0.000 0.000 1
Si1 0.500 0.500 0.241 1
Te1 0.000 0.000 0.381 1
Te2 0.500 0.500 0.744 1
```

Values from the calculation:
size of the total moment: 0.00 μB/cell
offset from the most stable computed form: 251 meV per atom
mass density: 5.85 g/cm3
E_form (uncorrected): 0.913 eV per formula unit
raw total energy: -3.383 eV/atom

Material: In2SiTe
Method: DFT, PBE-GGA
State: optimized geometry

CIF file:
```
data_In2SiTe
_chemical_formula_sum 'In2 Si1 Te1'
_cell_length_a 3.716
_cell_length_b 3.716
_cell_length_c 7.515
_cell_angle_alpha 90.00
_cell_angle_beta 90.00
_cell_angle_gamma 90.00
_symmetry_space_group_name_H-M 'P 4 m m'
_symmetry_Int_Tables_number 99
_symmetry_space_group_name_Hall 'P 4 -2'
loop_
_atom_site_label
_atom_site_fract_x
_atom_site_fract_y
_atom_site_fract_z
_atom_site_occupancy
In1 0.000 0.000 0.000 1
In2 0.500 0.500 0.274 1
Si1 0.000 0.000 0.528 1
Te1 0.500 0.500 0.697 1
```

Values from the calculation:
size of the total moment: 0.00 μB/cell
offset from the most stable computed form: 286 meV per atom
mass density: 6.16 g/cm3
E_form (uncorrected): 0.872 eV per formula unit
raw total energy: -3.292 eV/atom

Material: InSiTe2
Method: DFT, PBE-GGA
State: optimized geometry

CIF file:
```
data_InSiTe2
_chemical_formula_sum 'In4 Si4 Te8'
_cell_length_a 7.454
_cell_length_b 7.454
_cell_length_c 7.454
_cell_angle_alpha 90.00
_cell_angle_beta 90.00
_cell_angle_gamma 90.00
_symmetry_space_group_name_H-M 'F -4 3 m'
_symmetry_Int_Tables_number 216
_symmetry_space_group_name_Hall 'F -4 2 3'
loop_
_atom_site_label
_atom_site_fract_x
_atom_site_fract_y
_atom_site_fract_z
_atom_site_occupancy
In1 0.000 0.000 0.000 1
Si1 0.250 0.250 0.250 1
Te1 0.000 0.000 0.500 1
Te2 0.250 0.250 0.750 1
```

Values from the calculation:
size of the total moment: 0.00 μB/cell
offset from the most stable computed form: 468 meV per atom
mass density: 6.38 g/cm3
E_form (uncorrected): 1.783 eV per formula unit
raw total energy: -3.166 eV/atom

Material: InSiTe2
Method: DFT, PBE-GGA
State: optimized geometry

CIF file:
```
data_InSiTe2
_chemical_formula_sum 'In3 Si3 Te6'
_cell_length_a 3.2018
_cell_length_b 3.2018
_cell_length_c 36.4944
_cell_angle_alpha 90.00
_cell_angle_beta 90.00
_cell_angle_gamma 120.00
_symmetry_space_group_name_H-M 'R -3 m'
_symmetry_Int_Tables_number 166
_symmetry_space_group_name_Hall '-R 3 2"'
loop_
_atom_site_label
_atom_site_fract_x
_atom_site_fract_y
_atom_site_fract_z
_atom_site_occupancy
In1 0.0000 0.0000 0.0000 1
Si1 0.0000 0.0000 0.5000 1
Te1 0.0000 0.0000 0.4198 1
```

Values from the calculation:
size of the total moment: 0.00 μB/cell
offset from the most stable computed form: 425 meV per atom
mass density: 6.12 g/cm3
E_form (uncorrected): 1.612 eV per formula unit
raw total energy: -3.208 eV/atom

Material: In2SiTe
Method: DFT, PBE-GGA
State: optimized geometry

CIF file:
```
data_In2SiTe
_chemical_formula_sum 'In8 Si4 Te4'
_cell_length_a 7.400
_cell_length_b 7.400
_cell_length_c 7.400
_cell_angle_alpha 90.00
_cell_angle_beta 90.00
_cell_angle_gamma 90.00
_symmetry_space_group_name_H-M 'F -4 3 m'
_symmetry_Int_Tables_number 216
_symmetry_space_group_name_Hall 'F -4 2 3'
loop_
_atom_site_label
_atom_site_fract_x
_atom_site_fract_y
_atom_site_fract_z
_atom_site_occupancy
In1 0.000 0.000 0.000 1
In2 0.250 0.250 0.250 1
Si1 0.250 0.250 0.750 1
Te1 0.000 0.000 0.500 1
```

Values from the calculation:
size of the total moment: 0.00 μB/cell
offset from the most stable computed form: 394 meV per atom
mass density: 6.32 g/cm3
E_form (uncorrected): 1.304 eV per formula unit
raw total energy: -3.184 eV/atom

Material: In3SiTe
Method: DFT, PBE-GGA
State: optimized geometry

CIF file:
```
data_In3SiTe
_chemical_formula_sum 'In3 Si1 Te1'
_cell_length_a 5.298
_cell_length_b 5.298
_cell_length_c 5.298
_cell_angle_alpha 90.00
_cell_angle_beta 90.00
_cell_angle_gamma 90.00
_symmetry_space_group_name_H-M 'P m -3 m'
_symmetry_Int_Tables_number 221
_symmetry_space_group_name_Hall '-P 4 2 3'
loop_
_atom_site_label
_atom_site_fract_x
_atom_site_fract_y
_atom_site_fract_z
_atom_site_occupancy
In1 0.000 0.000 0.500 1
Si1 0.000 0.000 0.000 1
Te1 0.500 0.500 0.500 1
```

Values from the calculation:
size of the total moment: 0.00 μB/cell
offset from the most stable computed form: 0 meV per atom
mass density: 5.58 g/cm3
E_form (uncorrected): 0.807 eV per formula unit
raw total energy: -3.195 eV/atom

Material: InSiTe2
Method: DFT, PBE-GGA
State: optimized geometry

CIF file:
```
data_InSiTe2
_chemical_formula_sum 'In1 Si1 Te2'
_cell_length_a 3.692
_cell_length_b 3.692
_cell_length_c 7.593
_cell_angle_alpha 90.00
_cell_angle_beta 90.00
_cell_angle_gamma 90.00
_symmetry_space_group_name_H-M 'P 4/m m m'
_symmetry_Int_Tables_number 123
_symmetry_space_group_name_Hall '-P 4 2'
loop_
_atom_site_label
_atom_site_fract_x
_atom_site_fract_y
_atom_site_fract_z
_atom_site_occupancy
In1 0.000 0.000 0.000 1
Si1 0.000 0.000 0.500 1
Te1 0.500 0.500 0.277 1
```

Values from the calculation:
size of the total moment: 0.00 μB/cell
offset from the most stable computed form: 295 meV per atom
mass density: 6.39 g/cm3
E_form (uncorrected): 1.088 eV per formula unit
raw total energy: -3.339 eV/atom

Material: In2SiTe4
Method: DFT, PBE-GGA
State: optimized geometry

CIF file:
```
data_In2SiTe4
_chemical_formula_sum 'In4 Si2 Te8'
_cell_length_a 7.529
_cell_length_b 7.529
_cell_length_c 9.961
_cell_angle_alpha 90.00
_cell_angle_beta 90.00
_cell_angle_gamma 90.00
_symmetry_space_group_name_H-M 'I -4 2 m'
_symmetry_Int_Tables_number 121
_symmetry_space_group_name_Hall 'I -4 2'
loop_
_atom_site_label
_atom_site_fract_x
_atom_site_fract_y
_atom_site_fract_z
_atom_site_occupancy
In1 0.000 0.500 0.250 1
Si1 0.000 0.000 0.000 1
Te1 0.215 0.215 0.891 1
```

Values from the calculation:
size of the total moment: 0.00 μB/cell
mass density: 4.52 g/cm3
E_form (uncorrected): -0.690 eV per formula unit
raw total energy: -3.451 eV/atom

Material: In3Si5Te12
Method: DFT, PBE-GGA
State: optimized geometry

CIF file:
```
data_In3Si5Te12
_chemical_formula_sum 'In24 Si40 Te96'
_cell_length_a 17.134
_cell_length_b 17.134
_cell_length_c 17.134
_cell_angle_alpha 90.00
_cell_angle_beta 90.00
_cell_angle_gamma 90.00
_symmetry_space_group_name_H-M 'I a -3 d'
_symmetry_Int_Tables_number 230
_symmetry_space_group_name_Hall '-I 4bd 2c 3'
loop_
_atom_site_label
_atom_site_fract_x
_atom_site_fract_y
_atom_site_fract_z
_atom_site_occupancy
In1 0.000 0.250 0.125 1
Si1 0.000 0.000 0.000 1
Si2 0.000 0.250 0.375 1
Te1 0.031 0.060 0.649 1
```

Values from the calculation:
size of the total moment: 0.00 μB/cell
mass density: 5.32 g/cm3
E_form (uncorrected): 1.712 eV per formula unit
raw total energy: -3.566 eV/atom

Material: InSiTe2
Method: DFT, PBE-GGA
State: optimized geometry

CIF file:
```
data_InSiTe2
_chemical_formula_sum 'In3 Si3 Te6'
_cell_length_a 4.3053
_cell_length_b 4.3053
_cell_length_c 20.7056
_cell_angle_alpha 90.00
_cell_angle_beta 90.00
_cell_angle_gamma 120.00
_symmetry_space_group_name_H-M 'R -3 m'
_symmetry_Int_Tables_number 166
_symmetry_space_group_name_Hall '-R 3 2"'
loop_
_atom_site_label
_atom_site_fract_x
_atom_site_fract_y
_atom_site_fract_z
_atom_site_occupancy
In1 0.0000 0.0000 0.0000 1
Si1 0.0000 0.0000 0.5000 1
Te1 0.0000 0.0000 0.2411 1
```

Values from the calculation:
size of the total moment: 0.00 μB/cell
offset from the most stable computed form: 0 meV per atom
mass density: 5.97 g/cm3
E_form (uncorrected): -0.090 eV per formula unit
raw total energy: -3.634 eV/atom

Material: In2SiTe
Method: DFT, PBE-GGA
State: optimized geometry

CIF file:
```
data_In2SiTe
_chemical_formula_sum 'In4 Si2 Te2'
_cell_length_a 6.358
_cell_length_b 10.684
_cell_length_c 3.089
_cell_angle_alpha 90.00
_cell_angle_beta 100.82
_cell_angle_gamma 90.00
_symmetry_space_group_name_H-M 'C 1 2/m 1'
_symmetry_Int_Tables_number 12
_symmetry_space_group_name_Hall '-C 2y'
loop_
_atom_site_label
_atom_site_fract_x
_atom_site_fract_y
_atom_site_fract_z
_atom_site_occupancy
In1 0.250 0.250 0.000 1
Si1 0.000 0.000 0.500 1
Te1 0.000 0.500 0.500 1
```

Values from the calculation:
size of the total moment: 0.00 μB/cell
offset from the most stable computed form: 381 meV per atom
mass density: 6.21 g/cm3
E_form (uncorrected): 1.251 eV per formula unit
raw total energy: -3.198 eV/atom

Which value of E_form (uncorrected) does entry 5 give? 1.612 eV per formula unit